1.
## PmNd6SmEr2 (PBE)

Data for crystalline PmNd6SmEr2 at its relaxed geometry.

Summary:
DFT formation energy ... 1.14 eV per formula unit
Crystal system ... monoclinic

abc: 9.744 8.949 8.949
angles: 117.17 94.01 94.01
Fractional coordinates of all 20 atoms:
Nd 0.381 0.512 0.296
Nd 0.445 0.242 0.889
Nd 0.945 0.889 0.242
Nd 0.119 0.704 0.488
Nd 0.555 0.758 0.111
Nd 0.881 0.296 0.512
Nd 0.683 0.013 0.563
Nd 0.317 0.987 0.437
Nd 0.817 0.437 0.987
Nd 0.619 0.488 0.704
Nd 0.183 0.563 0.013
Nd 0.055 0.111 0.758
Er 0.048 0.294 0.198
Er 0.548 0.198 0.294
Er 0.452 0.802 0.706
Er 0.952 0.706 0.802
Pm 0.250 0.408 0.592
Pm 0.750 0.592 0.408
Sm 0.250 0.970 0.030
Sm 0.750 0.030 0.970

2.
## BaLiAgH2 (PBE)

Data for crystalline BaLiAgH2 at its relaxed geometry.

Summary:
Crystal system ... tetragonal
Energy ... -2.0712 eV/atom

abc: 4.347 6.017 4.347
angles: 90.00 90.00 90.00
Fractional coordinates of all 5 atoms:
H 0.000 0.000 0.500
H 0.500 0.000 0.000
Li 0.500 0.500 0.500
Ba 0.000 0.500 0.000
Ag 0.000 0.000 0.000

3.
## EuMgCuRh (PBE)

Data for crystalline EuMgCuRh at its relaxed geometry.

Summary:
DFT formation energy ... -0.71 eV per formula unit
Crystal system ... cubic

abc: 4.781 4.781 4.781
angles: 60.00 60.00 60.00
Fractional coordinates of all 4 atoms:
Eu 0.250 0.250 0.250
Rh 0.500 0.500 0.500
Cu 0.000 0.000 0.000
Mg 0.750 0.750 0.750

4.
## CaZnTe (PBE)

Data for crystalline CaZnTe at its relaxed geometry.

Summary:
Uncorrected formation energy ... -0.6538 eV per atom
Crystal system ... cubic

abc: 5.156 5.156 5.156
angles: 60.00 60.00 60.00
Fractional coordinates of all 3 atoms:
Zn 0.500 0.500 0.500
Te 0.000 0.000 0.000
Ca 0.250 0.250 0.250

5.
## Mn2Pt (PBE)

Data for crystalline Mn2Pt at its relaxed geometry.

Summary:
DFT formation energy ... 0.18 eV per formula unit
Crystal system ... trigonal

abc: 2.630 2.630 6.308
angles: 90.00 90.00 120.00
Fractional coordinates of all 3 atoms:
Mn 0.333 0.667 0.355
Mn 0.667 0.333 0.645
Pt 0.000 0.000 0.000

6.
## CdTe2As (PBE)

Data for crystalline CdTe2As at its relaxed geometry.

Summary:
Uncorrected formation energy ... 0.1844 eV per atom
Crystal system ... orthorhombic

abc: 4.039 8.008 4.044
angles: 90.00 90.00 90.00
Fractional coordinates of all 4 atoms:
Te 0.000 0.000 0.000
Te 0.500 0.500 0.000
Cd 0.000 0.500 0.500
As 0.500 0.000 0.500